1.
MgTaIrS2, optimized geometry, DFT PBE; DFT total energy = -5.383 eV/atom; theoretical density = 7.0 g/cm³
1.0
4.6957 0.0000 0.0000
0.0000 4.9597 0.0000
0.0000 0.0000 4.6957
S Mg Ta Ir
2 1 1 1
Cartesian
2.3479 0.0000 0.0000 S
0.0000 0.0000 2.3479 S
2.3479 2.4798 2.3479 Mg
0.0000 2.4798 0.0000 Ta
0.0000 0.0000 0.0000 Ir

---

2.
Mg2SbIr, optimized geometry, DFT PBE; DFT total energy = -4.332 eV/atom; theoretical density = 6.6 g/cm³
1.0
-0.3351 4.3835 -1.1993
-0.9512 -1.2728 4.2709
4.8651 0.7277 1.3003
Ir Mg Sb
1 2 1
Cartesian
0.0000 0.0000 0.0000 Ir
3.5424 3.1087 1.7154 Mg
0.0364 0.7296 2.6566 Mg
2.4325 0.3638 0.6502 Sb

---

3.
MgSb2Ir, optimized geometry, DFT PBE; DFT total energy = -4.770 eV/atom; theoretical density = 7.6 g/cm³
1.0
4.6849 0.0000 0.0000
0.0000 4.4831 0.5460
0.0000 1.6650 4.9772
Mg Sb Ir
1 2 1
Cartesian
2.3425 3.1314 4.6241 Mg
2.3425 3.4928 1.7088 Sb
0.0000 5.4181 4.4958 Sb
0.0000 3.3278 2.9793 Ir

---

Number 1 is which compound?
MgTaIrS2

---

Look up the DFT total energy of the second one.
-4.332 eV/atom

---

The highest theoretical density belongs to which entry?
MgSb2Ir

---

theoretical density of number 2 (Mg2SbIr)?
6.6 g/cm³